[1]
{"formula": "KAgMo2", "functional": "GGA-PBE", "state": "relaxed", "e_above_lowest_polymorph_ev_per_atom": 0.268, "sg": "Cm", "ef_ev_per_atom": 0.9010, "n_ef_per_ev_cell": 4.16, "magmom_total_mub_per_atom": 0.00, "cell": [[-0.071, 3.817, -2.557], [-2.354, 3.772, -1.157], [3.457, 4.038, 5.763]], "species": ["Mo", "Mo", "K", "Ag"], "fractional_positions": [[0.760, 0.760, 0.767], [0.002, 0.002, 0.916], [0.243, 0.243, 0.250], [0.495, 0.495, 0.567]]}

=====

[2]
{"formula": "KAgMo2", "functional": "GGA-PBE", "state": "relaxed", "e_above_lowest_polymorph_ev_per_atom": 0.427, "sg": "R-3m", "ef_ev_per_atom": 1.0599, "n_ef_per_ev_cell": 3.55, "magmom_total_mub_per_atom": 0.00, "cell": [[-4.051, -9.370, 4.923], [-1.318, -9.941, 5.280], [-2.684, -8.360, 7.167]], "species": ["Mo", "Mo", "K", "Ag"], "fractional_positions": [[0.990, 0.990, 0.990], [0.510, 0.510, 0.510], [0.750, 0.750, 0.750], [0.250, 0.250, 0.250]]}

=====

[3]
{"formula": "KAgMo2", "functional": "GGA-PBE", "state": "relaxed", "e_above_lowest_polymorph_ev_per_atom": 0.520, "sg": "P2/m", "ef_ev_per_atom": 1.1533, "n_ef_per_ev_cell": 3.39, "magmom_total_mub_per_atom": 0.00, "cell": [[-1.193, 0.459, 2.299], [-4.690, -0.809, -2.273], [-2.542, -6.042, -0.114]], "species": ["Mo", "Mo", "K", "Ag"], "fractional_positions": [[0.000, 0.000, 0.000], [0.500, 0.500, 0.000], [0.000, 0.000, 0.500], [0.500, 0.500, 0.500]]}

=====

[4]
{"formula": "KAgMo2", "functional": "GGA-PBE", "state": "relaxed", "e_above_lowest_polymorph_ev_per_atom": 0.180, "sg": "P4mm", "ef_ev_per_atom": 0.8129, "n_ef_per_ev_cell": 3.40, "magmom_total_mub_per_atom": 0.00, "cell": [[2.725, 0.000, 0.000], [0.000, 2.725, 0.000], [0.000, 0.000, 10.592]], "species": ["Mo", "Mo", "Ag", "K"], "fractional_positions": [[0.000, 0.000, 0.040], [0.500, 0.500, 0.253], [0.000, 0.000, 0.465], [0.500, 0.500, 0.742]]}

=====

[5]
{"formula": "KAgMo2", "functional": "GGA-PBE", "state": "relaxed", "e_above_lowest_polymorph_ev_per_atom": 0.026, "sg": "P4mm", "ef_ev_per_atom": 0.6589, "n_ef_per_ev_cell": 3.29, "magmom_total_mub_per_atom": 0.00, "cell": [[-1.344, -1.826, -2.311], [2.412, 0.775, -2.015], [4.550, -6.887, 2.798]], "species": ["Mo", "Mo", "Ag", "K"], "fractional_positions": [[0.500, 0.500, 0.223], [0.000, 0.000, 0.088], [0.000, 0.000, 0.442], [0.500, 0.500, 0.748]]}

=====

[6]
{"formula": "KAgMo2", "functional": "GGA-PBE", "state": "relaxed", "e_above_lowest_polymorph_ev_per_atom": 0.511, "sg": "C2/m", "ef_ev_per_atom": 1.1447, "n_ef_per_ev_cell": 3.80, "magmom_total_mub_per_atom": 0.00, "cell": [[6.251, 0.009, -0.068], [-3.831, 4.939, -0.068], [0.363, 0.743, 2.518]], "species": ["Ag", "Mo", "Mo", "K"], "fractional_positions": [[0.500, 0.000, 0.500], [0.500, 0.500, 0.000], [0.000, 0.000, 0.000], [0.000, 0.500, 0.500]]}

=====

[7]
{"formula": "KAg3Mo", "functional": "GGA-PBE", "state": "relaxed", "e_above_lowest_polymorph_ev_per_atom": 0.817, "sg": "Pm-3m", "ef_ev_per_atom": 1.8188, "n_ef_per_ev_cell": 2.03, "magmom_total_mub_per_atom": 0.83, "cell": [[5.315, 0.000, 0.000], [0.000, 5.315, 0.000], [0.000, 0.000, 5.315]], "species": ["Ag", "Ag", "Ag", "Mo", "K"], "fractional_positions": [[0.000, 0.500, 0.000], [0.500, 0.000, 0.000], [0.000, 0.000, 0.500], [0.500, 0.500, 0.500], [0.000, 0.000, 0.000]]}

=====

[8]
{"formula": "K3AgMo", "functional": "GGA-PBE", "state": "relaxed", "e_above_lowest_polymorph_ev_per_atom": 0.000, "sg": "Pm-3m", "ef_ev_per_atom": 1.0762, "n_ef_per_ev_cell": 4.88, "magmom_total_mub_per_atom": 1.13, "cell": [[-3.292, 5.345, -1.198], [-4.730, -3.478, -2.524], [-2.763, -0.413, 5.748]], "species": ["K", "K", "K", "Ag", "Mo"], "fractional_positions": [[0.000, 0.500, 0.000], [0.000, 0.000, 0.500], [0.500, 0.000, 0.000], [0.000, 0.000, 0.000], [0.500, 0.500, 0.500]]}